1.
SrSi2W | SCAN | PBEsol geometry

Output
ΔE_f (raw) (eV per atom): 1.18
Total magnetization (μB per atom): 0.000
Polymorph energy (0 for the lowest one) (eV per atom): 1.064
Total DFT energy (no corrections) (eV per atom): -26.82
Density of states at the Fermi level (states/eV/f.u.): 3.8

CIF file:
```
data_SrSi2W
_symmetry_space_group_name_H-M 'F -4 3 m'
_symmetry_Int_Tables_number 216
_symmetry_space_group_name_Hall 'F -4 2 3'
_cell_length_a 6.548
_cell_length_b 6.548
_cell_length_c 6.548
_cell_angle_alpha 90.00
_cell_angle_beta 90.00
_cell_angle_gamma 90.00
loop_
_atom_site_label
_atom_site_type_symbol
_atom_site_fract_x
_atom_site_fract_y
_atom_site_fract_z
Sr1 Sr 0.000 0.000 0.000
Si1 Si 0.000 0.000 0.500
Si2 Si 0.250 0.250 0.750
W1 W 0.250 0.250 0.250
```



2.
SrSi2W | SCAN | PBEsol geometry

Output
ΔE_f (raw) (eV per atom): 0.67
Total magnetization (μB per atom): 0.389
Polymorph energy (0 for the lowest one) (eV per atom): 0.559
Total DFT energy (no corrections) (eV per atom): -27.32
Density of states at the Fermi level (states/eV/f.u.): 2.5

CIF file:
```
data_SrSi2W
_symmetry_space_group_name_H-M 'I 4/m m m'
_symmetry_Int_Tables_number 139
_symmetry_space_group_name_Hall '-I 4 2'
_cell_length_a 4.454
_cell_length_b 4.454
_cell_length_c 7.169
_cell_angle_alpha 90.00
_cell_angle_beta 90.00
_cell_angle_gamma 90.00
loop_
_atom_site_label
_atom_site_type_symbol
_atom_site_fract_x
_atom_site_fract_y
_atom_site_fract_z
Sr1 Sr 0.000 0.000 0.000
Si1 Si 0.000 0.500 0.250
W1 W 0.000 0.000 0.500
```



3.
Sr2ZrSiW | SCAN | PBEsol geometry

Output
ΔE_f (raw) (eV per atom): 1.84
Total magnetization (μB per atom): 0.481
Total DFT energy (no corrections) (eV per atom): -29.15
Density of states at the Fermi level (states/eV/f.u.): 3.3

CIF file:
```
data_Sr2ZrSiW
_symmetry_space_group_name_H-M 'P 4/m m m'
_symmetry_Int_Tables_number 123
_symmetry_space_group_name_Hall '-P 4 2'
_cell_length_a 5.860
_cell_length_b 5.860
_cell_length_c 4.920
_cell_angle_alpha 90.00
_cell_angle_beta 90.00
_cell_angle_gamma 90.00
loop_
_atom_site_label
_atom_site_type_symbol
_atom_site_fract_x
_atom_site_fract_y
_atom_site_fract_z
Sr1 Sr 0.000 0.500 0.000
Zr1 Zr 0.000 0.000 0.000
Si1 Si 0.000 0.000 0.500
W1 W 0.500 0.500 0.500
```



4.
SrY4Si | SCAN | PBEsol geometry

Output
ΔE_f (raw) (eV per atom): 0.52
Total magnetization (μB per atom): 0.000
Total DFT energy (no corrections) (eV per atom): -23.42
Density of states at the Fermi level (states/eV/f.u.): 6.9

CIF file:
```
data_SrY4Si
_symmetry_space_group_name_H-M 'F -4 3 m'
_symmetry_Int_Tables_number 216
_symmetry_space_group_name_Hall 'F -4 2 3'
_cell_length_a 9.049
_cell_length_b 9.049
_cell_length_c 9.049
_cell_angle_alpha 90.00
_cell_angle_beta 90.00
_cell_angle_gamma 90.00
loop_
_atom_site_label
_atom_site_type_symbol
_atom_site_fract_x
_atom_site_fract_y
_atom_site_fract_z
Sr1 Sr 0.000 0.000 0.000
Y1 Y 0.124 0.124 0.376
Si1 Si 0.250 0.250 0.750
```